VASP calculation (PBE) on a relaxed TbScZn10 crystal.

Lattice parameters (Å, degrees): 4.212 5.252 9.068 90.00 90.00 90.00
Fractional positions:
Zn (0.500, 0.750, 0.252)
Zn (0.500, 0.750, 0.748)
Zn (0.000, 0.500, 0.175)
Zn (0.500, 0.000, 0.500)
Zn (0.500, 0.500, 0.000)
Zn (0.000, 0.500, 0.825)
Zn (0.500, 0.250, 0.252)
Zn (0.500, 0.250, 0.748)
Zn (0.000, 0.000, 0.659)
Zn (0.000, 0.000, 0.341)
Tb (0.000, 0.000, 0.000)
Sc (0.000, 0.500, 0.500)

The density of states at the Fermi level is 5.2 states/eV/cell. Its symmetry is Pmmm (47). As for the formation enthalpy at 0 K: -23 kJ per mole of atoms. As for the electronic total energy: -26.6 eV for the cell shown. The calculation puts the spin magnetization at 0.00 μB/f.u.